Entry 1:
Material: ZnPtN2F
Method: DFT, GGA-PBE
State: relaxed

Structure (extended XYZ):
```
5
Lattice="3.966 0.000 0.000 0.000 3.966 0.000 0.000 0.000 3.715" Properties=species:S:1:pos:R:3 pbc="T T T"
Zn 0.000 0.000 0.000
Pt 1.983 1.983 1.857
N 0.000 1.983 0.000
N 1.983 0.000 0.000
F 0.000 0.000 1.857
```

Output
Polymorph energy (0 for the lowest one)   249 kJ/mol of formula units
Uncorrected formation energy   1.238 eV per atom
Space group   P4/mmm (123)

Entry 2:
Material: BeTcAu2
Method: DFT, GGA-PBE
State: relaxed

Structure (extended XYZ):
```
8
Lattice="4.132 0.000 0.000 0.000 4.132 0.000 0.000 0.000 7.263" Properties=species:S:1:pos:R:3 pbc="T T T"
Be 0.000 0.000 0.000
Be 2.066 2.066 3.631
Tc 0.000 2.066 5.447
Tc 2.066 0.000 1.816
Au 0.000 0.000 3.631
Au 0.000 2.066 1.816
Au 2.066 0.000 5.447
Au 2.066 2.066 0.000
```

Output
Formation energy   0.400 eV/atom
Space group   I-4m2 (119)

Entry 3:
Material: Ho6Ga3Ni
Method: DFT, GGA-PBE
State: relaxed

Structure (extended XYZ):
```
20
Lattice="6.018 0.000 0.000 0.000 8.346 0.000 -5.549 0.000 10.118" Properties=species:S:1:pos:R:3 pbc="T T T"
Ho -2.059 1.391 4.419
Ho -4.834 2.782 9.477
Ho -0.445 5.730 4.395
Ho -3.219 6.789 9.454
Ho 0.927 0.407 2.658
Ho -1.848 3.766 7.716
Ho 2.317 4.580 2.401
Ho -0.458 7.939 7.460
Ho 3.688 1.557 0.663
Ho 0.913 2.616 5.722
Ho 5.303 5.564 0.640
Ho 2.528 6.955 5.699
Ga 0.000 0.000 0.000
Ga -2.775 4.173 5.059
Ga -3.188 0.943 7.686
Ga -0.414 3.230 2.627
Ga 0.883 5.116 7.491
Ga 3.657 7.403 2.432
Ni 0.234 0.000 5.059
Ni 3.009 4.173 0.000
```

Output
Formation energy   -0.344 eV/atom
Space group   P2_1/c (14)

Entry 4:
Material: BeCoB
Method: DFT, GGA-PBE
State: relaxed

Structure (extended XYZ):
```
3
Lattice="3.314 0.000 0.000 -1.657 2.870 0.000 0.000 0.000 2.404" Properties=species:S:1:pos:R:3 pbc="T T T"
Be 0.000 0.000 0.000
Co 0.000 1.913 1.202
B 1.657 0.957 0.000
```

Output
Formation energy   -0.171 eV/atom
Polymorph energy (0 for the lowest one)   24 kJ/mol of formula units
Space group   P-6m2 (187)

Entry 5:
Material: La6Zn2Ag
Method: DFT, GGA-PBE
State: relaxed

Structure (extended XYZ):
```
18
Lattice="-5.013 5.230 5.270 5.013 -5.230 5.270 5.013 5.230 -5.270" Properties=species:S:1:pos:R:3 pbc="T T T"
La 5.013 -2.959 3.403
La 3.047 0.000 2.674
La 6.978 0.000 2.674
La 3.213 2.777 0.000
La 6.812 2.777 0.000
La 0.000 2.271 1.867
La 5.013 2.959 3.403
La -1.799 2.454 5.270
La 1.799 2.454 5.270
La -1.965 5.230 2.596
La 1.965 5.230 2.596
La 0.000 8.190 1.867
Zn 1.357 0.000 0.000
Zn 8.668 0.000 0.000
Zn 0.000 0.000 3.986
Zn 0.000 0.000 6.555
Ag 5.013 0.000 0.000
Ag 0.000 5.230 0.000
```

Output
Formation energy   -0.147 eV/atom
Space group   Immm (71)

Entry 6:
Material: Ni5Ir
Method: DFT, GGA-PBE
State: relaxed

Structure (extended XYZ):
```
12
Lattice="9.352 0.000 0.000 0.000 2.587 0.000 -1.605 0.000 5.790" Properties=species:S:1:pos:R:3 pbc="T T T"
Ni 0.000 0.000 0.000
Ni -0.472 0.000 3.469
Ni 1.016 1.293 1.869
Ni 0.530 1.293 5.446
Ni 3.178 0.000 1.533
Ni 4.676 1.293 0.000
Ni 4.204 1.293 3.469
Ni 5.692 0.000 1.869
Ni 5.206 0.000 5.446
Ni 7.854 1.293 1.533
Ir 2.044 0.000 3.838
Ir 6.720 1.293 3.838
```

Output
Formation energy   0.036 eV/atom
Polymorph energy (0 for the lowest one)   11 kJ/mol of formula units
Space group   Cm (8)

Entry 7:
Material: TiNi2IrPd
Method: DFT, GGA-PBE
State: relaxed

Structure (extended XYZ):
```
5
Lattice="4.557 0.000 0.000 0.000 4.557 0.000 0.000 0.000 4.528" Properties=species:S:1:pos:R:3 pbc="T T T"
Ti 0.000 0.000 0.000
Ni 0.000 2.278 2.264
Ni 2.278 0.000 2.264
Ir 0.000 0.000 2.264
Pd 2.278 2.278 0.000
```

Output
Formation energy   0.809 eV/atom
Space group   P4/mmm (123)

Entry 8:
Material: TePdRh2
Method: DFT, GGA-PBE
State: relaxed

Structure (extended XYZ):
```
16
Lattice="5.357 0.000 0.000 0.000 5.357 0.000 0.000 0.000 13.121" Properties=species:S:1:pos:R:3 pbc="T T T"
Te 0.000 0.000 0.000
Te 0.000 2.678 3.280
Te 2.678 0.000 9.841
Te 2.678 2.678 6.560
Pd 0.000 0.000 6.560
Pd 0.000 2.678 9.841
Pd 2.678 0.000 3.280
Pd 2.678 2.678 0.000
Rh 1.336 1.339 8.201
Rh 1.339 4.015 11.481
Rh 1.339 4.021 4.920
Rh 1.342 1.339 1.640
Rh 4.015 4.018 1.640
Rh 4.018 1.336 4.920
Rh 4.018 1.342 11.481
Rh 4.021 4.018 8.201
```

Output
Uncorrected formation energy   0.536 eV per atom
Space group   I-42d (122)